[1]
Material: PmGe6Pt12
Method: DFT, PBE-GGA
State: relaxed

Lattice parameters (Å, degrees): 7.310 7.310 7.310 106.00 106.00 106.00
Sites, in units of the cell vectors:
Pm1 0.000 0.000 0.000
Ge1 0.264 0.264 0.686
Ge2 0.264 0.686 0.264
Ge3 0.314 0.736 0.736
Ge4 0.686 0.264 0.264
Ge5 0.736 0.314 0.736
Ge6 0.736 0.736 0.314
Pt1 0.126 0.500 0.874
Pt2 0.126 0.874 0.500
Pt3 0.148 0.386 0.386
Pt4 0.386 0.148 0.386
Pt5 0.386 0.386 0.148
Pt6 0.500 0.126 0.874
Pt7 0.500 0.874 0.126
Pt8 0.614 0.614 0.852
Pt9 0.614 0.852 0.614
Pt10 0.852 0.614 0.614
Pt11 0.874 0.126 0.500
Pt12 0.874 0.500 0.126

Results
The calculation puts the total moment at 0.0000 μB/atom. Its crystal system is trigonal. For the calculated formation energy, the calculation gives -415 meV/atom.

---

[2]
Material: Pm2Ge4Pt3
Method: DFT, PBE-GGA
State: relaxed

Lattice parameters (Å, degrees): 8.209 8.209 7.670 90.00 90.00 138.91
Sites, in units of the cell vectors:
Pm1 0.109 0.891 0.911
Pm2 0.391 0.609 0.411
Pm3 0.609 0.391 0.589
Pm4 0.891 0.109 0.089
Ge1 0.181 0.819 0.529
Ge2 0.192 0.308 0.750
Ge3 0.308 0.192 0.250
Ge4 0.319 0.681 0.029
Ge5 0.681 0.319 0.971
Ge6 0.692 0.808 0.750
Ge7 0.808 0.692 0.250
Ge8 0.819 0.181 0.471
Pt1 0.000 0.000 0.500
Pt2 0.027 0.473 0.750
Pt3 0.473 0.027 0.250
Pt4 0.500 0.500 0.000
Pt5 0.527 0.973 0.750
Pt6 0.973 0.527 0.250

Results
The calculation puts the total moment at 0.0000 μB/atom. Its crystal system is orthorhombic. For the calculated formation energy, the calculation gives -838 meV/atom.

---

[3]
Material: Pm2Ge3Pt2
Method: DFT, PBE-GGA
State: relaxed

Lattice parameters (Å, degrees): 10.321 4.357 6.742 90.00 107.62 90.00
Sites, in units of the cell vectors:
Pm1 0.148 0.000 0.291
Pm2 0.352 0.500 0.709
Pm3 0.648 0.500 0.291
Pm4 0.852 0.000 0.709
Ge1 0.000 0.500 0.500
Ge2 0.110 0.500 0.941
Ge3 0.390 0.000 0.059
Ge4 0.500 0.000 0.500
Ge5 0.610 0.000 0.941
Ge6 0.890 0.500 0.059
Pt1 0.154 0.000 0.767
Pt2 0.346 0.500 0.233
Pt3 0.654 0.500 0.767
Pt4 0.846 0.000 0.233

Results
Its relative energy among the computed polymorphs is 0.090 eV per atom. The calculation puts the total moment at 0.0000 μB/atom. Its crystal system is monoclinic. For the calculated formation energy, the calculation gives -816 meV/atom.

---

[4]
Material: Pm12Ge5Pt2
Method: DFT, PBE-GGA
State: relaxed

Lattice parameters (Å, degrees): 9.273 9.273 9.471 103.20 103.20 47.54
Sites, in units of the cell vectors:
Pm1 0.006 0.006 0.274
Pm2 0.069 0.592 0.907
Pm3 0.107 0.592 0.429
Pm4 0.408 0.893 0.571
Pm5 0.408 0.931 0.093
Pm6 0.486 0.486 0.181
Pm7 0.514 0.514 0.819
Pm8 0.592 0.069 0.907
Pm9 0.592 0.107 0.429
Pm10 0.893 0.408 0.571
Pm11 0.931 0.408 0.093
Pm12 0.994 0.994 0.726
Ge1 0.184 0.184 0.825
Ge2 0.197 0.197 0.363
Ge3 0.500 0.500 0.500
Ge4 0.803 0.803 0.637
Ge5 0.816 0.816 0.175
Pt1 0.194 0.806 0.000
Pt2 0.806 0.194 0.000

Results
The calculation puts the total moment at 0.0000 μB/atom. Its crystal system is monoclinic. For the calculated formation energy, the calculation gives -593 meV/atom.